*one*
The following is a DFT calculation (PBE-GGA) of a relaxed CdIn2Te crystal.

- Size of the total moment: 0.000 μB per atom
- Space group: C2/m (12)

```
data_CdIn2Te
_symmetry_space_group_name_H-M 'P 1'
_symmetry_Int_Tables_number 1
_cell_length_a 6.635
_cell_length_b 6.635
_cell_length_c 4.538
_cell_angle_alpha 109.63
_cell_angle_beta 109.63
_cell_angle_gamma 37.86
loop_
_symmetry_equiv_pos_as_xyz
'x,y,z'
loop_
_atom_site_label
_atom_site_type_symbol
_atom_site_fract_x
_atom_site_fract_y
_atom_site_fract_z
_atom_site_occupancy
Cd1 Cd 0.000 0.000 0.000 1
In1 In 0.223 0.223 0.723 1
In2 In 0.777 0.777 0.277 1
Te1 Te 0.500 0.500 0.500 1
```

*two*
The following is a DFT calculation (PBE-GGA) of a relaxed CdIn2Te crystal.

- Size of the total moment: 0.000 μB per atom
- Space group: P-1 (2)

```
data_CdIn2Te
_symmetry_space_group_name_H-M 'P 1'
_symmetry_Int_Tables_number 1
_cell_length_a 6.594
_cell_length_b 6.648
_cell_length_c 6.740
_cell_angle_alpha 61.11
_cell_angle_beta 78.39
_cell_angle_gamma 62.59
loop_
_symmetry_equiv_pos_as_xyz
'x,y,z'
loop_
_atom_site_label
_atom_site_type_symbol
_atom_site_fract_x
_atom_site_fract_y
_atom_site_fract_z
_atom_site_occupancy
Cd1 Cd 0.136 0.420 0.228 1
Cd2 Cd 0.864 0.580 0.772 1
In1 In 0.209 0.918 0.261 1
In2 In 0.370 0.582 0.772 1
In3 In 0.630 0.418 0.228 1
In4 In 0.791 0.082 0.739 1
Te1 Te 0.251 0.117 0.742 1
Te2 Te 0.749 0.883 0.258 1
```

Which of them is most stable? Easy: *two*.

*one*
The following is a DFT calculation (PBE-GGA) of a relaxed B2C crystal.

- Size of the total moment: 0.000 μB per atom
- Space group: P3m1 (156)

```
data_B2C
_symmetry_space_group_name_H-M 'P 1'
_symmetry_Int_Tables_number 1
_cell_length_a 2.656
_cell_length_b 2.656
_cell_length_c 15.770
_cell_angle_alpha 90.00
_cell_angle_beta 90.00
_cell_angle_gamma 120.00
loop_
_symmetry_equiv_pos_as_xyz
'x,y,z'
loop_
_atom_site_label
_atom_site_type_symbol
_atom_site_fract_x
_atom_site_fract_y
_atom_site_fract_z
_atom_site_occupancy
B1 B 0.000 0.000 0.000 1
B2 B 0.000 0.000 0.107 1
B3 B 0.000 0.000 0.646 1
B4 B 0.333 0.667 0.173 1
B5 B 0.333 0.667 0.790 1
B6 B 0.667 0.333 0.281 1
B7 B 0.667 0.333 0.531 1
B8 B 0.667 0.333 0.933 1
C1 C 0.000 0.000 0.541 1
C2 C 0.333 0.667 0.273 1
C3 C 0.333 0.667 0.691 1
C4 C 0.667 0.333 0.836 1
```

*two*
The following is a DFT calculation (PBE-GGA) of a relaxed B2C crystal.

- Size of the total moment: 0.000 μB per atom
- Space group: P3m1 (156)

```
data_B2C
_symmetry_space_group_name_H-M 'P 1'
_symmetry_Int_Tables_number 1
_cell_length_a 2.731
_cell_length_b 2.731
_cell_length_c 16.693
_cell_angle_alpha 90.00
_cell_angle_beta 90.00
_cell_angle_gamma 120.00
loop_
_symmetry_equiv_pos_as_xyz
'x,y,z'
loop_
_atom_site_label
_atom_site_type_symbol
_atom_site_fract_x
_atom_site_fract_y
_atom_site_fract_z
_atom_site_occupancy
B1 B 0.000 0.000 0.000 1
B2 B 0.000 0.000 0.099 1
B3 B 0.000 0.000 0.595 1
B4 B 0.333 0.667 0.120 1
B5 B 0.333 0.667 0.347 1
B6 B 0.333 0.667 0.838 1
B7 B 0.667 0.333 0.456 1
B8 B 0.667 0.333 0.939 1
C1 C 0.000 0.000 0.493 1
C2 C 0.333 0.667 0.605 1
C3 C 0.667 0.333 0.356 1
C4 C 0.667 0.333 0.845 1
```

Which of them is most stable? Easy: *one*.

*one*
The following is a DFT calculation (PBE-GGA) of a relaxed NaTcNi crystal.

- Size of the total moment: 0.670 μB per atom
- Space group: P6_3/mmc (194)

```
data_NaTcNi
_symmetry_space_group_name_H-M 'P 1'
_symmetry_Int_Tables_number 1
_cell_length_a 4.502
_cell_length_b 4.502
_cell_length_c 5.165
_cell_angle_alpha 90.00
_cell_angle_beta 90.00
_cell_angle_gamma 120.00
loop_
_symmetry_equiv_pos_as_xyz
'x,y,z'
loop_
_atom_site_label
_atom_site_type_symbol
_atom_site_fract_x
_atom_site_fract_y
_atom_site_fract_z
_atom_site_occupancy
Na1 Na 0.000 0.000 0.000 1
Na2 Na 0.000 0.000 0.500 1
Tc1 Tc 0.333 0.667 0.250 1
Tc2 Tc 0.667 0.333 0.750 1
Ni1 Ni 0.333 0.667 0.750 1
Ni2 Ni 0.667 0.333 0.250 1
```

*two*
The following is a DFT calculation (PBE-GGA) of a relaxed NaTcNi crystal.

- Size of the total moment: 0.000 μB per atom
- Space group: P2_1/m (11)

```
data_NaTcNi
_symmetry_space_group_name_H-M 'P 1'
_symmetry_Int_Tables_number 1
_cell_length_a 2.718
_cell_length_b 2.718
_cell_length_c 13.304
_cell_angle_alpha 90.00
_cell_angle_beta 90.15
_cell_angle_gamma 90.00
loop_
_symmetry_equiv_pos_as_xyz
'x,y,z'
loop_
_atom_site_label
_atom_site_type_symbol
_atom_site_fract_x
_atom_site_fract_y
_atom_site_fract_z
_atom_site_occupancy
Na1 Na 0.244 0.250 0.127 1
Na2 Na 0.756 0.750 0.873 1
Tc1 Tc 0.249 0.250 0.421 1
Tc2 Tc 0.751 0.750 0.579 1
Ni1 Ni 0.253 0.250 0.702 1
Ni2 Ni 0.747 0.750 0.298 1
```

Which of them is most stable? Easy: *two*.

*one*
The following is a DFT calculation (PBE-GGA) of a relaxed Ba2TlP crystal.

- Size of the total moment: 0.000 μB per atom
- Space group: P4/mmm (123)

```
data_Ba2TlP
_symmetry_space_group_name_H-M 'P 1'
_symmetry_Int_Tables_number 1
_cell_length_a 5.531
_cell_length_b 5.531
_cell_length_c 4.450
_cell_angle_alpha 90.00
_cell_angle_beta 90.00
_cell_angle_gamma 90.00
loop_
_symmetry_equiv_pos_as_xyz
'x,y,z'
loop_
_atom_site_label
_atom_site_type_symbol
_atom_site_fract_x
_atom_site_fract_y
_atom_site_fract_z
_atom_site_occupancy
Ba1 Ba 0.000 0.500 0.000 1
Ba2 Ba 0.500 0.000 0.000 1
Tl1 Tl 0.000 0.000 0.500 1
P1 P 0.500 0.500 0.500 1
```

*two*
The following is a DFT calculation (PBE-GGA) of a relaxed Ba2TlP crystal.

- Size of the total moment: 0.000 μB per atom
- Space group: F-43m (216)

```
data_Ba2TlP
_symmetry_space_group_name_H-M 'P 1'
_symmetry_Int_Tables_number 1
_cell_length_a 5.728
_cell_length_b 5.728
_cell_length_c 5.728
_cell_angle_alpha 60.00
_cell_angle_beta 60.00
_cell_angle_gamma 60.00
loop_
_symmetry_equiv_pos_as_xyz
'x,y,z'
loop_
_atom_site_label
_atom_site_type_symbol
_atom_site_fract_x
_atom_site_fract_y
_atom_site_fract_z
_atom_site_occupancy
Ba1 Ba 0.000 0.000 0.000 1
Ba2 Ba 0.250 0.250 0.250 1
Tl1 Tl 0.750 0.750 0.750 1
P1 P 0.500 0.500 0.500 1
```

Which of them is most stable? Easy: *one*.

*one*
The following is a DFT calculation (PBE-GGA) of a relaxed LiTaP2 crystal.

- Size of the total moment: 0.193 μB per atom
- Space group: R3m (160)

```
data_LiTaP2
_symmetry_space_group_name_H-M 'P 1'
_symmetry_Int_Tables_number 1
_cell_length_a 10.849
_cell_length_b 10.849
_cell_length_c 10.849
_cell_angle_alpha 14.95
_cell_angle_beta 14.95
_cell_angle_gamma 14.95
loop_
_symmetry_equiv_pos_as_xyz
'x,y,z'
loop_
_atom_site_label
_atom_site_type_symbol
_atom_site_fract_x
_atom_site_fract_y
_atom_site_fract_z
_atom_site_occupancy
Li1 Li 0.000 0.000 0.000 1
Ta1 Ta 0.749 0.749 0.749 1
P1 P 0.271 0.271 0.271 1
P2 P 0.480 0.480 0.480 1
```

*two*
The following is a DFT calculation (PBE-GGA) of a relaxed LiTaP2 crystal.

- Size of the total moment: 0.000 μB per atom
- Space group: Pm (6)

```
data_LiTaP2
_symmetry_space_group_name_H-M 'P 1'
_symmetry_Int_Tables_number 1
_cell_length_a 3.526
_cell_length_b 3.529
_cell_length_c 5.017
_cell_angle_alpha 90.00
_cell_angle_beta 90.25
_cell_angle_gamma 90.00
loop_
_symmetry_equiv_pos_as_xyz
'x,y,z'
loop_
_atom_site_label
_atom_site_type_symbol
_atom_site_fract_x
_atom_site_fract_y
_atom_site_fract_z
_atom_site_occupancy
Li1 Li 0.000 0.000 0.000 1
Ta1 Ta 0.500 0.500 0.355 1
P1 P 0.001 0.000 0.495 1
P2 P 0.500 0.500 0.891 1
```

Which of them is most stable? Easy: *two*.